Entry one
KV2I: relaxed, GGA-PBE.

```
KV2I
1.0
-0.330 -3.739 -2.791
3.535 1.625 -2.595
8.233 -6.049 3.213
I K V
2 2 4
Direct
0.000 0.000 0.000
0.750 0.250 0.500
0.500 0.500 0.000
0.250 0.750 0.500
0.841 0.125 0.250
0.909 0.625 0.250
0.375 0.159 0.750
0.875 0.091 0.750
```

=====

Entry two
KV2I: relaxed, GGA-PBE.

```
KV2I
1.0
-2.810 -4.489 -0.984
-5.240 0.313 -1.208
-1.680 -1.083 -5.002
I K V
1 1 2
Direct
0.500 0.500 0.500
0.000 0.000 0.000
0.250 0.250 0.250
0.750 0.750 0.750
```

=====

Stability ranking, top entry: entry one; the second entry is 0.334 eV/atom less favorable.

=====

Entry one
K2WI: relaxed, GGA-PBE.

```
K2WI
1.0
-1.860 -0.803 -12.502
1.990 -12.498 0.507
-2.460 -7.036 -5.597
I K W
2 4 2
Direct
0.500 0.500 0.000
0.250 0.750 0.500
0.467 0.125 0.250
0.283 0.625 0.250
0.375 0.533 0.750
0.875 0.717 0.750
0.000 0.000 0.000
0.750 0.250 0.500
```

=====

Entry two
K2WI: relaxed, GGA-PBE.

```
K2WI
1.0
-4.132 -2.922 3.438
-1.026 1.814 5.752
-5.270 2.750 1.447
I K W
1 2 1
Direct
0.000 0.000 0.000
0.250 0.250 0.250
0.750 0.750 0.750
0.500 0.500 0.500
```

=====

Stability ranking, top entry: entry two; the second entry is 0.213 eV/atom less favorable.

=====

Entry one
KW2I: relaxed, GGA-PBE.

```
KW2I
1.0
4.195 0.000 0.000
0.000 4.195 0.000
2.098 2.098 11.573
I K W
2 2 4
Direct
0.000 0.000 0.000
0.750 0.250 0.500
0.500 0.500 0.000
0.250 0.750 0.500
0.045 0.125 0.250
0.705 0.625 0.250
0.375 0.955 0.750
0.875 0.295 0.750
```

=====

Entry two
KW2I: relaxed, GGA-PBE.

```
KW2I
1.0
0.490 -0.721 4.797
-3.804 0.689 2.970
-2.158 -3.821 2.124
I K W
1 1 2
Direct
0.500 0.500 0.500
0.000 0.000 0.000
0.250 0.250 0.250
0.750 0.750 0.750
```

=====

Stability ranking, top entry: entry one; the second entry is 0.932 eV/atom less favorable.

=====

Entry one
KWI3: relaxed, GGA-PBE.

```
KWI3
1.0
5.813 0.000 0.000
0.000 5.813 0.000
0.000 0.000 5.813
I K W
3 1 1
Direct
0.000 0.500 0.000
0.000 0.000 0.500
0.500 0.000 0.000
0.500 0.500 0.500
0.000 0.000 0.000
```

=====

Entry two
KWI3: relaxed, GGA-PBE.

```
KWI3
1.0
6.361 0.000 0.000
0.000 6.361 0.000
0.000 0.000 6.361
I K W
3 1 1
Direct
0.000 0.500 0.000
0.000 0.000 0.500
0.500 0.000 0.000
0.000 0.000 0.000
0.500 0.500 0.500
```

=====

Stability ranking, top entry: entry one; the second entry is 1.252 eV/atom less favorable.

=====

Entry one
KY3I: relaxed, GGA-PBE.

```
KY3I
1.0
5.706 0.000 0.000
0.000 5.706 0.000
0.000 0.000 5.706
I Y K
1 3 1
Direct
0.500 0.500 0.500
0.000 0.500 0.000
0.000 0.000 0.500
0.500 0.000 0.000
0.000 0.000 0.000
```

=====

Entry two
KY3I: relaxed, GGA-PBE.

```
KY3I
1.0
-3.203 -2.142 4.390
3.335 -4.795 0.095
3.569 2.559 3.852
I Y K
1 3 1
Direct
0.000 0.000 0.000
0.000 0.500 0.000
0.000 0.000 0.500
0.500 0.000 0.000
0.500 0.500 0.500
```

=====

Stability ranking, top entry: entry two; the second entry is 0.835 eV/atom less favorable.

=====

Entry one
KY2I: relaxed, GGA-PBE.

```
KY2I
1.0
9.712 0.000 0.000
0.000 9.712 0.000
4.856 4.856 3.402
I Y K
2 4 2
Direct
0.000 0.000 0.000
0.750 0.250 0.500
0.702 0.125 0.250
0.048 0.625 0.250
0.375 0.298 0.750
0.875 0.952 0.750
0.500 0.500 0.000
0.250 0.750 0.500
```

=====

Entry two
KY2I: relaxed, GGA-PBE.

```
KY2I
1.0
0.000 4.048 4.048
4.048 0.000 4.048
4.048 4.048 0.000
I Y K
1 2 1
Direct
0.500 0.500 0.500
0.250 0.250 0.250
0.750 0.750 0.750
0.000 0.000 0.000
```

=====

Stability ranking, top entry: entry one; the second entry is 0.183 eV/atom less favorable.

=====

Entry one
KZn3I: relaxed, GGA-PBE.

```
KZn3I
1.0
-5.224 2.243 3.424
-3.678 -0.136 -5.522
-1.796 -6.244 1.351
I Zn K
1 3 1
Direct
0.000 0.000 0.000
0.000 0.500 0.000
0.000 0.000 0.500
0.500 0.000 0.000
0.500 0.500 0.500
```

=====

Entry two
KZn3I: relaxed, GGA-PBE.

```
KZn3I
1.0
-2.767 1.560 5.524
2.872 -4.933 2.832
4.970 3.720 1.439
I Zn K
1 3 1
Direct
0.500 0.500 0.500
0.000 0.500 0.000
0.000 0.000 0.500
0.500 0.000 0.000
0.000 0.000 0.000
```

=====

Stability ranking, top entry: entry two; the second entry is 0.031 eV/atom less favorable.

=====

Entry one
KZnI2: relaxed, GGA-PBE.

```
KZnI2
1.0
0.000 4.126 4.126
4.126 0.000 4.126
4.126 4.126 0.000
I Zn K
2 1 1
Direct
0.250 0.250 0.250
0.750 0.750 0.750
0.500 0.500 0.500
0.000 0.000 0.000
```

=====

Entry two
KZnI2: relaxed, GGA-PBE.

```
KZnI2
1.0
7.034 0.000 0.000
0.000 7.034 0.000
3.517 3.517 8.065
I Zn K
4 2 2
Direct
0.702 0.125 0.250
0.048 0.625 0.250
0.375 0.298 0.750
0.875 0.952 0.750
0.000 0.000 0.000
0.750 0.250 0.500
0.500 0.500 0.000
0.250 0.750 0.500
```

=====

Entry three
KZnI2: relaxed, GGA-PBE.

```
KZnI2
1.0
4.357 0.000 0.000
2.178 3.773 0.000
2.178 1.258 10.074
I Zn K
2 1 1
Direct
0.112 0.112 0.664
0.888 0.888 0.336
0.500 0.500 0.500
0.000 0.000 0.000
```

=====

Stability ranking, top entry: entry two; the second entry is 0.170 eV/atom less favorable.

=====

Entry one
K2ZnI: relaxed, GGA-PBE.

```
K2ZnI
1.0
0.000 4.358 4.358
4.358 0.000 4.358
4.358 4.358 0.000
I Zn K
1 1 2
Direct
0.500 0.500 0.500
0.000 0.000 0.000
0.250 0.250 0.250
0.750 0.750 0.750
```

=====

Entry two
K2ZnI: relaxed, GGA-PBE.

```
K2ZnI
1.0
9.358 0.000 0.000
0.000 9.358 0.000
4.679 4.679 4.425
I Zn K
2 2 4
Direct
0.000 0.000 0.000
0.750 0.250 0.500
0.500 0.500 0.000
0.250 0.750 0.500
0.632 0.125 0.250
0.118 0.625 0.250
0.375 0.368 0.750
0.875 0.882 0.750
```

=====

Stability ranking, top entry: entry one; the second entry is 0.018 eV/atom less favorable.

=====

Entry one
K2ZrI: relaxed, GGA-PBE.

```
K2ZrI
1.0
0.000 4.492 4.492
4.492 0.000 4.492
4.492 4.492 0.000
I K Zr
1 2 1
Direct
0.500 0.500 0.500
0.250 0.250 0.250
0.750 0.750 0.750
0.000 0.000 0.000
```

=====

Entry two
K2ZrI: relaxed, GGA-PBE.

```
K2ZrI
1.0
11.897 0.000 0.000
0.000 11.897 0.000
5.949 5.949 2.868
I K Zr
2 4 2
Direct
0.000 0.000 0.000
0.750 0.250 0.500
0.738 0.125 0.250
0.012 0.625 0.250
0.375 0.262 0.750
0.875 0.988 0.750
0.500 0.500 0.000
0.250 0.750 0.500
```

=====

Stability ranking, top entry: entry two; the second entry is 0.107 eV/atom less favorable.

=====

Entry one
K3ZrI: relaxed, GGA-PBE.

```
K3ZrI
1.0
6.611 0.000 0.000
0.000 6.611 0.000
0.000 0.000 6.611
I K Zr
1 3 1
Direct
0.000 0.000 0.000
0.000 0.500 0.000
0.000 0.000 0.500
0.500 0.000 0.000
0.500 0.500 0.500
```

=====

Entry two
K3ZrI: relaxed, GGA-PBE.

```
K3ZrI
1.0
-2.072 -1.831 -6.182
3.459 -5.796 0.558
-5.441 -2.987 2.708
I K Zr
1 3 1
Direct
0.500 0.500 0.500
0.000 0.500 0.000
0.000 0.000 0.500
0.500 0.000 0.000
0.000 0.000 0.000
```

=====

Stability ranking, top entry: entry one; the second entry is 0.224 eV/atom less favorable.

=====

Entry one
KZr2I: relaxed, GGA-PBE.

```
KZr2I
1.0
-0.307 -0.652 5.248
-2.923 -3.932 2.014
2.363 -4.148 2.296
I K Zr
1 1 2
Direct
0.500 0.500 0.500
0.000 0.000 0.000
0.250 0.250 0.250
0.750 0.750 0.750
```

=====

Entry two
KZr2I: relaxed, GGA-PBE.

```
KZr2I
1.0
-3.498 2.872 -1.189
0.380 -1.381 -4.455
-9.265 -7.815 -0.824
I K Zr
2 2 4
Direct
0.000 0.000 0.000
0.750 0.250 0.500
0.500 0.500 0.000
0.250 0.750 0.500
0.746 0.125 0.250
0.004 0.625 0.250
0.375 0.254 0.750
0.875 0.996 0.750
```

=====

Stability ranking, top entry: entry two; the second entry is 0.407 eV/atom less favorable.